A plane-wave DFT calculation with PBE-GGA was carried out for a relaxed structure of NaSr3Cr.

a = 6.3502 Å, b = 6.3502 Å, c = 6.3502 Å
α = 90.00°, β = 90.00°, γ = 90.00°
Closest atoms and distances in Å follow each position.
Space group Pm-3m (No. 221)
Inequivalent atoms, fractional coordinates:
Na: 0.0000 0.0000 0.0000 [1 per cell]  6 Sr 3.18
Sr: 0.0000 0.0000 0.5000 [3 per cell]  2 Na 3.18
Cr: 0.5000 0.5000 0.5000 [1 per cell]  12 Sr 4.49

Computed properties:
- V: 51.21 A^3/atom
- Formation energy from the elements: 0.840 eV/atom
- Energy relative to the lowest polymorph listed for this composition: 85 meV/atom